Record 1
{
  "formula": "TiGaSi",
  "functional": "PBE",
  "state": "relaxed",
  "lattice": [[4.438, 0.000, 0.000], [-2.219, 3.844, 0.000], [0.000, 0.000, 2.646]],
  "species": ["Ti", "Ga", "Si"],
  "fractional_positions": [[0.000, 0.000, 0.000], [0.333, 0.667, 0.500], [0.667, 0.333, 0.500]],
  "e_tot_ev_per_atom": -5.67,
  "relative_energy_mev_per_atom": 279.8,
  "vol_a3_per_atom": 15.0,
  "e_form_raw_ev_per_atom": -0.219,
  "magnetic_moment_mub_per_fu": 0.002
}

---

Record 2
{
  "formula": "TiGaSi3",
  "functional": "PBE",
  "state": "relaxed",
  "lattice": [[4.804, 0.000, 0.000], [0.000, 4.804, 0.000], [0.000, 0.000, 4.804]],
  "species": ["Ti", "Ga", "Si", "Si", "Si"],
  "fractional_positions": [[0.000, 0.000, 0.000], [0.500, 0.500, 0.500], [0.000, 0.000, 0.500], [0.000, 0.500, 0.000], [0.500, 0.000, 0.000]],
  "e_tot_ev_per_atom": -4.92,
  "relative_energy_mev_per_atom": 0.0,
  "vol_a3_per_atom": 22.2,
  "e_form_raw_ev_per_atom": 0.520,
  "magnetic_moment_mub_per_fu": 0.000
}